(1)
Cr2BiP PBEsol relaxed; ΔE_f = 529 meV per atom; crystal system = cubic; theoretical density = 9.65 g/cm³; DOS(E_F) = 1.72 states/eV per cell; uncorrected energy = -28.45 eV for the cell shown
1.0
-3.188 2.101 2.134
-3.886 -1.925 0.573
-1.213 -1.335 3.985
P Cr Bi
1 2 1
direct
0.000 0.000 0.000 P
0.750 0.750 0.750 Cr
0.250 0.250 0.250 Cr
0.500 0.500 0.500 Bi

=====

(2)
Cd2HgPb PBEsol relaxed; ΔE_f = 86 meV per atom; energy relative to the lowest polymorph listed for this composition = 0.054 eV/atom; crystal system = cubic; theoretical density = 10.98 g/cm³; DOS(E_F) = 2.01 states/eV per cell; uncorrected energy = -6.61 eV for the cell shown
1.0
-1.507 3.161 -3.754
-1.309 -1.901 -4.585
-4.911 0.053 -1.494
Cd Pb Hg
2 1 1
direct
0.250 0.250 0.250 Cd
0.750 0.750 0.750 Cd
0.500 0.500 0.500 Pb
0.000 0.000 0.000 Hg

=====

(3)
TaCu2Rh PBEsol relaxed; ΔE_f = -16 meV per atom; crystal system = tetragonal; theoretical density = 12.61 g/cm³; DOS(E_F) = 4.07 states/eV per cell; uncorrected energy = -29.42 eV for the cell shown
1.0
3.694 0.000 0.000
0.000 3.694 0.000
0.000 0.000 3.966
Rh Ta Cu
1 1 2
direct
0.500 0.500 0.500 Rh
0.000 0.000 0.500 Ta
0.500 0.000 0.000 Cu
0.000 0.500 0.000 Cu